[1]
This record from Alexandria describes a geometry-optimized Mg3Sb structure. The functional is PBE.

ΔE to the lowest computed polymorph (eV/atom): 0.138
Calculated density (Mg/m³): 3.35
Uncorrected formation energy (eV/atom): -0.035
N(E_F) (states/eV per cell): 2.13

Cell lengths 3.2551, 3.2551, 9.1134 Å; angles 90.00, 90.00, 89.92 degrees
Atoms (fractional coordinates):
Mg: 0.0000 0.0000 0.9957
Mg: 0.5000 0.5000 0.7500
Mg: 0.0000 0.0000 0.5043
Sb: 0.5000 0.5000 0.2500

[2]
This record from Alexandria describes a geometry-optimized Rb3Ge4I12 structure. The functional is PBE.

Calculated density (Mg/m³): 4.23
Uncorrected formation energy (eV/atom): -0.624
N(E_F) (states/eV per cell): 10.84

Cell lengths 10.1806, 10.1806, 10.1806 Å; angles 109.47, 109.47, 109.47 degrees
Atoms (fractional coordinates):
Rb: 0.5000 0.5000 0.0000
Rb: 0.0000 0.5000 0.5000
Rb: 0.5000 0.0000 0.5000
Ge: 0.5000 0.5000 0.5000
Ge: 0.5000 0.0000 0.0000
Ge: 0.0000 0.0000 0.5000
Ge: 0.0000 0.5000 0.0000
I: 0.2318 0.7274 0.9592
I: 0.7682 0.2726 0.0408
I: 0.2318 0.2726 0.5044
I: 0.2726 0.0408 0.7682
I: 0.9592 0.2318 0.7274
I: 0.4956 0.7682 0.7274
I: 0.7274 0.4956 0.7682
I: 0.0408 0.7682 0.2726
I: 0.7682 0.7274 0.4956
I: 0.7274 0.9592 0.2318
I: 0.5044 0.2318 0.2726
I: 0.2726 0.5044 0.2318

[3]
This record from Alexandria describes a geometry-optimized Rb2RhCl4 structure. The functional is PBE.

Calculated density (Mg/m³): 3.45
Uncorrected formation energy (eV/atom): -1.291
N(E_F) (states/eV per cell): 1.71

Cell lengths 5.0017, 5.0017, 8.7426 Å; angles 106.62, 106.62, 90.00 degrees
Atoms (fractional coordinates):
Rh: 0.0000 0.0000 0.0000
Rb: 0.6396 0.6396 0.2792
Rb: 0.3604 0.3604 0.7208
Cl: 0.8493 0.8493 0.6987
Cl: 0.1507 0.1507 0.3013
Cl: 0.0000 0.5000 0.0000
Cl: 0.5000 0.0000 0.0000

[4]
This record from Alexandria describes a geometry-optimized LiHoMnCl6 structure. The functional is PBE.

Calculated density (Mg/m³): 3.53
Uncorrected formation energy (eV/atom): -1.516

Cell lengths 6.3486, 6.3486, 11.8465 Å; angles 90.00, 90.00, 120.00 degrees
Each line ends with the local moment (μB).
Atoms (fractional coordinates):
Li: 0.0000 0.0000 0.0000  0.00
Li: 0.0000 0.0000 0.5000  0.00
Ho: 0.6667 0.3333 0.2500  -0.02
Ho: 0.3333 0.6667 0.7500  -0.02
Mn: 0.3333 0.6667 0.2500  0.99
Mn: 0.6667 0.3333 0.7500  0.99
Cl: 0.6434 0.6708 0.1305  -0.01
Cl: 0.0274 0.3566 0.1305  -0.01
Cl: 0.3566 0.0274 0.6305  -0.01
Cl: 0.9726 0.6434 0.8695  -0.01
Cl: 0.3292 0.3566 0.3695  -0.01
Cl: 0.0274 0.6708 0.3695  -0.01
Cl: 0.6708 0.0274 0.8695  -0.01
Cl: 0.6434 0.9726 0.3695  -0.01
Cl: 0.9726 0.3292 0.6305  -0.01
Cl: 0.3292 0.9726 0.1305  -0.01
Cl: 0.6708 0.6434 0.6305  -0.01
Cl: 0.3566 0.3292 0.8695  -0.01

[5]
This record from Alexandria describes a geometry-optimized SrAsW2 structure. The functional is PBE.

Calculated formation energy (kJ per mole of atoms): 63
Calculated density (Mg/m³): 11.17
N(E_F) (states/eV per cell): 2.79

Cell lengths 6.2253, 6.2253, 6.2253 Å; angles 154.01, 131.43, 55.90 degrees
Atoms (fractional coordinates):
Sr: 0.2500 0.7500 0.5000
As: 0.7500 0.2500 0.5000
W: 0.9581 0.9581 0.0000
W: 0.5419 0.5419 0.0000

[6]
This record from Alexandria describes a geometry-optimized BaBiAuSe2 structure. The functional is PBE.

Calculated density (Mg/m³): 6.81
Uncorrected formation energy (eV/atom): -0.631
N(E_F) (states/eV per cell): 0.41

Cell lengths 5.6558, 5.3449, 5.6558 Å; angles 90.00, 90.00, 90.00 degrees
Atoms (fractional coordinates):
Au: 0.0000 0.5000 0.0000
Bi: 0.0000 0.0000 0.0000
Se: 0.0000 0.0000 0.5000
Se: 0.5000 0.0000 0.0000
Ba: 0.5000 0.5000 0.5000

[7]
This record from Alexandria describes a geometry-optimized La3NdGe4 structure. The functional is PBE.

Calculated formation energy (kJ per mole of atoms): -66
Calculated density (Mg/m³): 6.03
N(E_F) (states/eV per cell): 7.93

Cell lengths 4.2188, 6.6328, 9.2590 Å; angles 110.98, 103.17, 90.00 degrees
Atoms (fractional coordinates):
La: 0.0000 0.5000 0.0000
La: 0.1976 0.1975 0.3952
La: 0.8024 0.8025 0.6048
Nd: 0.5000 0.0000 0.0000
Ge: 0.3706 0.5600 0.7413
Ge: 0.6294 0.4400 0.2587
Ge: 0.6292 0.8183 0.2585
Ge: 0.3708 0.1817 0.7415

[8]
This record from Alexandria describes a geometry-optimized La6GeSe2S3 structure. The functional is PBE.

Calculated density (Mg/m³): 5.87
Uncorrected formation energy (eV/atom): -1.910
N(E_F) (states/eV per cell): 5.85

Cell lengths 4.2644, 8.5170, 9.5189 Å; angles 102.72, 102.94, 90.00 degrees
Atoms (fractional coordinates):
La: 0.3334 0.9267 0.6668
La: 0.6617 0.5910 0.3234
La: 0.6666 0.0733 0.3332
La: 0.9982 0.2509 0.9964
La: 0.0018 0.7491 0.0036
La: 0.3383 0.4090 0.6766
Ge: 0.5000 0.0000 0.0000
Se: 0.8311 0.6640 0.6623
Se: 0.1689 0.3360 0.3377
S: 0.5000 0.5000 0.0000
S: 0.8329 0.1687 0.6659
S: 0.1671 0.8313 0.3341

What is the formula in the first record?
Mg3Sb

calculated density of number 3 (Rb2RhCl4)?
3.45 Mg/m³

Among the records above, which one has the highest calculated density?
SrAsW2